Here is an optimized crystal structure of RbMgFeSe3 from the Open Quantum Materials Database. Energies are from PBE-GGA.

a b c (Å): 8.5949 3.7754 10.7730
angles (deg): 90.00 112.84 90.00
Positions (direct):
Rb 0.2437 0.2500 0.2605
Rb 0.7563 0.7500 0.7395
Mg 0.1149 0.2500 0.6219
Mg 0.8851 0.7500 0.3781
Fe 0.3530 0.7500 0.9062
Fe 0.6470 0.2500 0.0938
Se 0.1518 0.2500 0.8772
Se 0.2155 0.7500 0.5147
Se 0.5005 0.2500 0.8558
Se 0.4995 0.7500 0.1442
Se 0.7845 0.2500 0.4853
Se 0.8482 0.7500 0.1228

Calculated values
The total magnetization comes out at 4.7 μB/cell. For the total energy, the calculation gives -4.296 eV/atom.

Here is an optimized crystal structure of LaNdSb2Ir2O2 from the Open Quantum Materials Database. Energies are from PBE-GGA.

a b c (Å): 4.2266 4.2266 8.7986
angles (deg): 90.00 90.00 90.00
Positions (direct):
La 0.0000 0.0000 0.0000
Nd 0.5000 0.5000 0.7447
Sb 0.0000 0.0000 0.5531
Sb 0.5000 0.5000 0.2015
Ir 0.0000 0.5000 0.3776
Ir 0.5000 0.0000 0.3776
O 0.0000 0.5000 0.8713
O 0.5000 0.0000 0.8713

Calculated values
The total magnetization comes out at 0.0 μB/cell. For the total energy, the calculation gives -7.401 eV/atom.

Here is an optimized crystal structure of Y3HoEr2Sb2Os from the Open Quantum Materials Database. Energies are from PBE-GGA.

a b c (Å): 4.2046 8.1598 8.1598
angles (deg): 120.00 90.00 90.00
Positions (direct):
Y 0.0000 0.0000 0.0000
Y 0.0000 0.3953 0.7907
Y 0.0000 0.7907 0.3953
Ho 0.5000 0.6311 0.6311
Er 0.5000 0.1596 0.3953
Er 0.5000 0.3953 0.1596
Sb 0.5000 0.0621 0.7287
Sb 0.5000 0.7287 0.0621
Os 0.0000 0.3951 0.3951

Calculated values
The total magnetization comes out at 0.0 μB/cell. For the total energy, the calculation gives -6.539 eV/atom.

Here is an optimized crystal structure of SrHfCu from the Open Quantum Materials Database. Energies are from PBE-GGA.

a b c (Å): 4.8295 4.8295 4.8295
angles (deg): 60.00 60.00 60.00
Positions (direct):
Sr 0.0000 0.0000 0.0000
Hf 0.2500 0.2500 0.2500
Cu 0.7500 0.7500 0.7500

Calculated values
The polymorph energy (0 for the lowest one) comes out at 2.43 eV per formula unit. The total magnetization comes out at 0.0 μB/cell.

Here is an optimized crystal structure of PaAl5Pd from the Open Quantum Materials Database. Energies are from PBE-GGA.

a b c (Å): 4.3387 4.3387 6.9517
angles (deg): 90.00 90.00 90.00
Positions (direct):
Pa 0.0000 0.0000 0.0000
Al 0.0000 0.5000 0.2983
Al 0.0000 0.5000 0.7017
Al 0.5000 0.0000 0.2983
Al 0.5000 0.0000 0.7017
Al 0.5000 0.5000 0.0000
Pd 0.0000 0.0000 0.5000

Calculated values
The total magnetization comes out at 0.0 μB/cell. For the total energy, the calculation gives -5.215 eV/atom.

Here is an optimized crystal structure of Sr2Hg from the Open Quantum Materials Database. Energies are from PBE-GGA.

a b c (Å): 7.8540 5.4718 10.3742
angles (deg): 90.00 90.00 90.00
Positions (direct):
Sr 0.0266 0.2500 0.1824
Sr 0.1549 0.2500 0.5696
Sr 0.3451 0.7500 0.0696
Sr 0.4734 0.7500 0.6824
Sr 0.5266 0.2500 0.3176
Sr 0.6549 0.2500 0.9304
Sr 0.8451 0.7500 0.4304
Sr 0.9734 0.7500 0.8176
Hg 0.2306 0.2500 0.8881
Hg 0.2694 0.7500 0.3881
Hg 0.7306 0.2500 0.6119
Hg 0.7694 0.7500 0.1119

Calculated values
For the total energy, the calculation gives -1.578 eV/atom.

Here is an optimized crystal structure of Al10Re3 from the Open Quantum Materials Database. Energies are from PBE-GGA.

a b c (Å): 9.1495 9.1495 9.1495
angles (deg): 33.08 33.08 33.08
Positions (direct):
Al 0.0484 0.0484 0.0484
Al 0.0850 0.5987 0.5987
Al 0.3331 0.3331 0.3331
Al 0.4013 0.4013 0.9150
Al 0.4013 0.9150 0.4013
Al 0.5987 0.0850 0.5987
Al 0.5987 0.5987 0.0850
Al 0.6669 0.6669 0.6669
Al 0.9150 0.4013 0.4013
Al 0.9516 0.9516 0.9516
Re 0.1474 0.1474 0.1474
Re 0.5000 0.5000 0.5000
Re 0.8526 0.8526 0.8526

Calculated values
The polymorph energy (0 for the lowest one) comes out at 1.40 eV per formula unit. The total magnetization comes out at 0.0 μB/cell.

Here is an optimized crystal structure of LiHgPd2 from the Open Quantum Materials Database. Energies are from PBE-GGA.

a b c (Å): 4.5185 4.5185 4.5185
angles (deg): 60.00 60.00 60.00
Positions (direct):
Li 0.0000 0.0000 0.0000
Hg 0.2500 0.2500 0.2500
Pd 0.5000 0.5000 0.5000
Pd 0.7500 0.7500 0.7500

Calculated values
For the total energy, the calculation gives -3.461 eV/atom.

Here is an optimized crystal structure of BaSmGe from the Open Quantum Materials Database. Energies are from PBE-GGA.

a b c (Å): 5.3333 5.3333 5.3333
angles (deg): 60.00 60.00 60.00
Positions (direct):
Ba 0.0000 0.0000 0.0000
Sm 0.5000 0.5000 0.5000
Ge 0.2500 0.2500 0.2500

Calculated values
The total magnetization comes out at 0.7 μB/cell. For the total energy, the calculation gives -4.046 eV/atom.

Here is an optimized crystal structure of ErGaAu from the Open Quantum Materials Database. Energies are from PBE-GGA.

a b c (Å): 4.6202 4.6202 4.6202
angles (deg): 60.00 60.00 60.00
Positions (direct):
Er 0.0000 0.0000 0.0000
Ga 0.5000 0.5000 0.5000
Au 0.2500 0.2500 0.2500

Calculated values
The total magnetization comes out at 0.1 μB/cell. For the total energy, the calculation gives -4.259 eV/atom.

Here is an optimized crystal structure of DyAl4GaIr from the Open Quantum Materials Database. Energies are from PBE-GGA.

a b c (Å): 4.2865 4.2865 6.9412
angles (deg): 90.00 90.00 90.00
Positions (direct):
Dy 0.0000 0.0000 0.0000
Al 0.0000 0.5000 0.3055
Al 0.0000 0.5000 0.6945
Al 0.5000 0.0000 0.3055
Al 0.5000 0.0000 0.6945
Ga 0.5000 0.5000 0.0000
Ir 0.0000 0.0000 0.5000

Calculated values
The total magnetization comes out at 0.0 μB/cell. For the total energy, the calculation gives -5.145 eV/atom.

Here is an optimized crystal structure of MgFe from the Open Quantum Materials Database. Energies are from PBE-GGA.

a b c (Å): 4.2957 8.5949 8.5949
angles (deg): 150.94 90.00 90.00
Positions (direct):
Mg 0.0000 0.0000 0.0000
Mg 0.0000 0.3841 0.6132
Mg 0.0000 0.6132 0.3841
Mg 0.5000 0.0941 0.8647
Mg 0.5000 0.8647 0.0941
Fe 0.0000 0.2379 0.8013
Fe 0.0000 0.8013 0.2379
Fe 0.5000 0.2429 0.6780
Fe 0.5000 0.4858 0.4858
Fe 0.5000 0.6780 0.2429

Calculated values
The total magnetization comes out at 11.4 μB/cell. For the total energy, the calculation gives -4.734 eV/atom.

Here is an optimized crystal structure of HgBiNO from the Open Quantum Materials Database. Energies are from PBE-GGA.

a b c (Å): 4.1211 5.6814 6.1009
angles (deg): 90.00 90.00 90.00
Positions (direct):
Hg 0.0000 0.2430 0.0000
Hg 0.0000 0.7570 0.5000
Bi 0.5000 0.2630 0.4625
Bi 0.5000 0.7370 0.9625
N 0.5000 0.3700 0.0874
N 0.5000 0.6300 0.5874
O 0.0000 0.1935 0.6102
O 0.0000 0.8065 0.1102

Calculated values
The polymorph energy (0 for the lowest one) comes out at 0.23 eV per formula unit.

Here is an optimized crystal structure of CsNdTe from the Open Quantum Materials Database. Energies are from PBE-GGA.

a b c (Å): 5.6758 5.6758 5.6758
angles (deg): 60.00 60.00 60.00
Positions (direct):
Cs 0.0000 0.0000 0.0000
Nd 0.5000 0.5000 0.5000
Te 0.2500 0.2500 0.2500

Calculated values
The total magnetization comes out at 1.6 μB/cell. For the total energy, the calculation gives -3.177 eV/atom.

Here is an optimized crystal structure of PmTcO3 from the Open Quantum Materials Database. Energies are from PBE-GGA.

a b c (Å): 5.8426 5.8426 5.8426
angles (deg): 57.89 57.89 57.89
Positions (direct):
Pm 0.1361 0.1361 0.1361
Pm 0.8639 0.8639 0.8639
Tc 0.3395 0.3395 0.3395
Tc 0.6605 0.6605 0.6605
O 0.0604 0.4536 0.7143
O 0.2858 0.9396 0.5464
O 0.4536 0.7143 0.0604
O 0.5464 0.2857 0.9396
O 0.7143 0.0604 0.4536
O 0.9396 0.5464 0.2858

Calculated values
The total magnetization comes out at 4.0 μB/cell. For the total energy, the calculation gives -8.037 eV/atom.

Here is an optimized crystal structure of Co2HgGe2 from the Open Quantum Materials Database. Energies are from PBE-GGA.

a b c (Å): 5.1902 3.7607 7.9676
angles (deg): 90.00 90.00 90.00
Positions (direct):
Co 0.0000 0.0000 0.0000
Co 0.2500 0.0000 0.2780
Co 0.5000 0.0000 0.0000
Co 0.7500 0.0000 0.7220
Hg 0.0000 0.5000 0.5000
Hg 0.5000 0.5000 0.5000
Ge 0.2500 0.0000 0.7472
Ge 0.2500 0.5000 0.0983
Ge 0.7500 0.0000 0.2528
Ge 0.7500 0.5000 0.9017

Calculated values
The total magnetization comes out at 0.0 μB/cell. For the total energy, the calculation gives -4.687 eV/atom.

Here is an optimized crystal structure of Nd3Sm2Ho from the Open Quantum Materials Database. Energies are from PBE-GGA.

a b c (Å): 6.3173 6.3173 11.7095
angles (deg): 90.00 90.00 59.99
Positions (direct):
Nd 0.0000 0.0000 0.0000
Nd 0.0000 0.0000 0.5000
Nd 0.3345 0.3345 0.0000
Nd 0.3345 0.3345 0.5000
Nd 0.6655 0.6655 0.0000
Nd 0.6655 0.6655 0.5000
Sm 0.0005 0.3336 0.2500
Sm 0.9995 0.6664 0.7500
Sm 0.3336 0.0005 0.7500
Sm 0.6664 0.9995 0.2500
Ho 0.3331 0.6669 0.2500
Ho 0.6669 0.3331 0.7500

Calculated values
The total magnetization comes out at 0.0 μB/cell. As for the calculated formation energy: -0.0054 eV per atom.

Here is an optimized crystal structure of AcLuMg from the Open Quantum Materials Database. Energies are from PBE-GGA.

a b c (Å): 5.5225 5.5225 5.5225
angles (deg): 60.00 60.00 60.00
Positions (direct):
Ac 0.0000 0.0000 0.0000
Lu 0.7500 0.7500 0.7500
Mg 0.2500 0.2500 0.2500

Calculated values
The polymorph energy (0 for the lowest one) comes out at 1.12 eV per formula unit. The total magnetization comes out at 0.0 μB/cell.

Here is an optimized crystal structure of RbLuAuSe3 from the Open Quantum Materials Database. Energies are from PBE-GGA.

a b c (Å): 8.1414 8.1414 10.5492
angles (deg): 90.00 90.00 151.41
Positions (direct):
Rb 0.2456 0.7544 0.7500
Rb 0.7544 0.2456 0.2500
Lu 0.0000 0.0000 0.0000
Lu 0.0000 0.0000 0.5000
Au 0.4637 0.5363 0.2500
Au 0.5363 0.4637 0.7500
Se 0.0725 0.9275 0.2500
Se 0.3761 0.6239 0.0431
Se 0.3761 0.6239 0.4569
Se 0.6239 0.3761 0.5431
Se 0.6239 0.3761 0.9569
Se 0.9275 0.0725 0.7500

Calculated values
The total magnetization comes out at 0.1 μB/cell. For the total energy, the calculation gives -4.292 eV/atom.

Here is an optimized crystal structure of LuPdO3F from the Open Quantum Materials Database. Energies are from PBE-GGA.

a b c (Å): 3.8207 6.0277 6.5788
angles (deg): 81.94 82.30 83.97
Positions (direct):
Lu 0.1679 0.4126 0.2544
Lu 0.8320 0.5874 0.7456
Pd 0.2583 0.1114 0.8230
Pd 0.7417 0.8886 0.1770
O 0.1224 0.3144 0.5800
O 0.2402 0.9731 0.1346
O 0.3043 0.4019 0.9101
O 0.6957 0.5981 0.0899
O 0.7598 0.0269 0.8654
O 0.8776 0.6856 0.4200
F 0.3045 0.7948 0.7066
F 0.6955 0.2052 0.2934

Calculated values
The total magnetization comes out at 0.0 μB/cell. For the total energy, the calculation gives -6.295 eV/atom.

Here is an optimized crystal structure of TaFeAgGe from the Open Quantum Materials Database. Energies are from PBE-GGA.

a b c (Å): 4.4127 4.4127 4.4127
angles (deg): 60.00 60.00 60.00
Positions (direct):
Ta 0.0000 0.0000 0.0000
Fe 0.7500 0.7500 0.7500
Ag 0.2500 0.2500 0.2500
Ge 0.5000 0.5000 0.5000

Calculated values
The polymorph energy (0 for the lowest one) comes out at 0.00 eV per formula unit. The total magnetization comes out at 0.0 μB/cell.

Here is an optimized crystal structure of TbScAsO from the Open Quantum Materials Database. Energies are from PBE-GGA.

a b c (Å): 3.9253 5.8943 6.9387
angles (deg): 90.00 90.00 90.00
Positions (direct):
Tb 0.0000 0.0709 0.0000
Tb 0.0000 0.9291 0.5000
Sc 0.5000 0.3624 0.3351
Sc 0.5000 0.6376 0.8351
As 0.5000 0.2025 0.7078
As 0.5000 0.7975 0.2078
O 0.0000 0.2590 0.2926
O 0.0000 0.7410 0.7926

Calculated values
The polymorph energy (0 for the lowest one) comes out at 0.00 eV per formula unit. The total magnetization comes out at 1.8 μB/cell.

Here is an optimized crystal structure of Rb2ZnCdP2 from the Open Quantum Materials Database. Energies are from PBE-GGA.

a b c (Å): 4.2957 4.2957 10.8010
angles (deg): 90.00 90.00 120.00
Positions (direct):
Rb 0.0000 0.0000 0.2483
Rb 0.0000 0.0000 0.7517
Zn 0.3333 0.6667 0.0000
Cd 0.6667 0.3333 0.5000
P 0.3333 0.6667 0.5000
P 0.6667 0.3333 0.0000

Calculated values
For the total energy, the calculation gives -2.833 eV/atom.

Here is an optimized crystal structure of ScAgF3 from the Open Quantum Materials Database. Energies are from PBE-GGA.

a b c (Å): 4.1038 4.1038 4.1454
angles (deg): 90.00 90.00 90.00
Positions (direct):
Sc 0.0000 0.0000 0.0000
Ag 0.5000 0.5000 0.5046
F 0.0000 0.0000 0.5001
F 0.0000 0.5000 0.0011
F 0.5000 0.0000 0.0011

Calculated values
The polymorph energy (0 for the lowest one) comes out at 0.52 eV per formula unit. The total magnetization comes out at 0.1 μB/cell.

Here is an optimized crystal structure of DyHoSi2Ag2 from the Open Quantum Materials Database. Energies are from PBE-GGA.

a b c (Å): 4.3993 4.3993 7.2786
angles (deg): 90.00 90.00 120.00
Positions (direct):
Dy 0.0000 0.0000 0.0000
Ho 0.0000 0.0000 0.4996
Si 0.3333 0.6667 0.7075
Si 0.6667 0.3333 0.2099
Ag 0.3333 0.6667 0.2829
Ag 0.6667 0.3333 0.7768

Calculated values
The total magnetization comes out at 0.0 μB/cell. For the total energy, the calculation gives -4.828 eV/atom.